1.
The following is a DFT calculation (GGA-PBEsol) of crystalline Dy2In16Pt7 at its relaxed geometry.

abc: 11.6670 11.6670 4.3862
angles: 90.00 90.00 117.46
Sites, in units of the cell vectors:
Dy 0.1700 0.1700 0.0000
Dy 0.8300 0.8300 0.0000
In 0.0387 0.7133 0.0000
In 0.0728 0.9272 0.5000
In 0.1407 0.5869 0.5000
In 0.2562 0.4822 0.0000
In 0.2867 0.9613 0.0000
In 0.3674 0.3674 0.5000
In 0.4131 0.8593 0.5000
In 0.4822 0.2562 0.0000
In 0.5178 0.7438 0.0000
In 0.5869 0.1407 0.5000
In 0.6327 0.6327 0.5000
In 0.7133 0.0387 0.0000
In 0.7438 0.5178 0.0000
In 0.8593 0.4131 0.5000
In 0.9272 0.0728 0.5000
In 0.9613 0.2867 0.0000
Pt 0.1153 0.3315 0.5000
Pt 0.2760 0.7240 0.0000
Pt 0.3315 0.1153 0.5000
Pt 0.5000 0.5000 0.0000
Pt 0.6685 0.8847 0.5000
Pt 0.7240 0.2760 0.0000
Pt 0.8847 0.6685 0.5000

Properties
Crystal system: orthorhombic
Space group: Cmmm
Calculated volume in Å³/f.u.: 530
Size of the total moment in μB/cell: 0.000
E in eV/atom: -4.8033

2.
The following is a DFT calculation (GGA-PBEsol) of crystalline DyIn4Pt4 at its relaxed geometry.

abc: 4.5348 4.5348 19.8674
angles: 90.00 90.00 120.00
Sites, in units of the cell vectors:
Dy 0.3333 0.6667 0.2500
Dy 0.6667 0.3333 0.7500
In 0.0000 0.0000 0.1430
In 0.0000 0.0000 0.3570
In 0.0000 0.0000 0.6430
In 0.0000 0.0000 0.8570
In 0.3333 0.6667 0.5415
In 0.3333 0.6667 0.9585
In 0.6667 0.3333 0.0415
In 0.6667 0.3333 0.4585
Pt 0.3333 0.6667 0.0958
Pt 0.3333 0.6667 0.4042
Pt 0.3333 0.6667 0.6802
Pt 0.3333 0.6667 0.8198
Pt 0.6667 0.3333 0.1802
Pt 0.6667 0.3333 0.3198
Pt 0.6667 0.3333 0.5958
Pt 0.6667 0.3333 0.9042

Properties
Crystal system: hexagonal
Space group: P6_3/mmc
Calculated volume in Å³/f.u.: 177
Size of the total moment in μB/cell: 0.001
E in eV/atom: -5.6873

3.
The following is a DFT calculation (GGA-PBEsol) of crystalline DyInRh2 at its relaxed geometry.

abc: 4.6171 4.6171 4.6171
angles: 60.00 60.00 60.00
Sites, in units of the cell vectors:
Dy 0.0000 0.0000 0.0000
In 0.5000 0.5000 0.5000
Rh 0.2500 0.2500 0.2500
Rh 0.7500 0.7500 0.7500

Properties
Crystal system: cubic
Space group: Fm-3m
Calculated volume in Å³/f.u.: 70
Size of the total moment in μB/cell: 0.000
E in eV/atom: -6.8059

4.
The following is a DFT calculation (GGA-PBEsol) of crystalline Dy4In5S13 at its relaxed geometry.

abc: 11.7628 21.1121 3.7999
angles: 90.00 90.00 90.00
Sites, in units of the cell vectors:
Dy 0.0174 0.1728 0.0000
Dy 0.1758 0.3398 0.0000
Dy 0.3242 0.8398 0.0000
Dy 0.4826 0.6728 0.0000
Dy 0.5174 0.3272 0.0000
Dy 0.6758 0.1602 0.0000
Dy 0.8242 0.6602 0.0000
Dy 0.9826 0.8272 0.0000
In 0.0000 0.5000 0.0000
In 0.1542 0.9915 0.5000
In 0.1579 0.6678 0.5000
In 0.3421 0.1678 0.5000
In 0.3458 0.4915 0.5000
In 0.5000 0.0000 0.0000
In 0.6542 0.5085 0.5000
In 0.6579 0.8322 0.5000
In 0.8421 0.3322 0.5000
In 0.8458 0.0085 0.5000
S 0.0000 0.0000 0.0000
S 0.0061 0.4063 0.5000
S 0.0858 0.2608 0.5000
S 0.1481 0.8645 0.5000
S 0.1548 0.1137 0.5000
S 0.1639 0.7412 0.0000
S 0.2041 0.4727 0.0000
S 0.2959 0.9727 0.0000
S 0.3361 0.2412 0.0000
S 0.3452 0.6137 0.5000
S 0.3519 0.3645 0.5000
S 0.4142 0.7608 0.5000
S 0.4939 0.9063 0.5000
S 0.5000 0.5000 0.0000
S 0.5061 0.0937 0.5000
S 0.5858 0.2392 0.5000
S 0.6481 0.6355 0.5000
S 0.6548 0.3863 0.5000
S 0.6639 0.7588 0.0000
S 0.7041 0.0273 0.0000
S 0.7959 0.5273 0.0000
S 0.8361 0.2588 0.0000
S 0.8452 0.8863 0.5000
S 0.8519 0.1355 0.5000
S 0.9142 0.7392 0.5000
S 0.9939 0.5937 0.5000

Properties
Crystal system: orthorhombic
Space group: Pbam
Calculated volume in Å³/f.u.: 472
Size of the total moment in μB/cell: 0.001
E in eV/atom: -5.4219

5.
The following is a DFT calculation (GGA-PBEsol) of crystalline Dy11In6Si4 at its relaxed geometry.

abc: 11.2809 11.2809 11.2809
angles: 119.80 119.80 90.35
Sites, in units of the cell vectors:
Dy 0.0648 0.3152 0.7497
Dy 0.1006 0.4476 0.3470
Dy 0.1006 0.7536 0.6530
Dy 0.1683 0.1683 0.0000
Dy 0.2464 0.8994 0.3470
Dy 0.3152 0.0648 0.7497
Dy 0.3152 0.5655 0.2503
Dy 0.3332 0.3332 0.6664
Dy 0.3332 0.6668 0.0000
Dy 0.4345 0.6848 0.7497
Dy 0.4476 0.1006 0.3470
Dy 0.5524 0.8994 0.6530
Dy 0.5655 0.3152 0.2503
Dy 0.6668 0.3332 0.0000
Dy 0.6668 0.6668 0.3336
Dy 0.6848 0.4345 0.7497
Dy 0.6848 0.9352 0.2503
Dy 0.7536 0.1006 0.6530
Dy 0.8317 0.8317 0.0000
Dy 0.8994 0.2464 0.3470
Dy 0.8994 0.5524 0.6530
Dy 0.9352 0.6848 0.2503
In 0.0355 0.0355 0.4127
In 0.0355 0.6228 0.0000
In 0.1286 0.1286 0.2571
In 0.1286 0.8714 0.0000
In 0.3772 0.3772 0.4127
In 0.3772 0.9645 0.0000
In 0.6228 0.0355 0.0000
In 0.6228 0.6228 0.5873
In 0.8714 0.1286 0.0000
In 0.8714 0.8714 0.7429
In 0.9645 0.3772 0.0000
In 0.9645 0.9645 0.5873
Si 0.1530 0.5000 0.6530
Si 0.2500 0.7500 0.5000
Si 0.3819 0.3819 0.0000
Si 0.5000 0.1530 0.6530
Si 0.5000 0.8470 0.3471
Si 0.6181 0.6181 0.0000
Si 0.7500 0.2500 0.5000
Si 0.8470 0.5000 0.3471

Properties
Crystal system: tetragonal
Space group: I4/mmm
Calculated volume in Å³/f.u.: 509
Size of the total moment in μB/cell: 0.001
E in eV/atom: -5.2046

6.
The following is a DFT calculation (GGA-PBEsol) of crystalline Dy2TlIn at its relaxed geometry.

abc: 5.2450 5.2450 5.2450
angles: 60.00 60.00 60.00
Sites, in units of the cell vectors:
Dy 0.2500 0.2500 0.2500
Dy 0.7500 0.7500 0.7500
Tl 0.0000 0.0000 0.0000
In 0.5000 0.5000 0.5000

Properties
Crystal system: cubic
Space group: Fm-3m
Calculated volume in Å³/f.u.: 102
Size of the total moment in μB/cell: 0.000
E in eV/atom: -4.3555

7.
The following is a DFT calculation (GGA-PBEsol) of crystalline DyTmIn2 at its relaxed geometry.

abc: 5.1916 5.1916 5.1916
angles: 60.00 60.00 60.00
Sites, in units of the cell vectors:
Dy 0.0000 0.0000 0.0000
Tm 0.5000 0.5000 0.5000
In 0.2500 0.2500 0.2500
In 0.7500 0.7500 0.7500

Properties
Crystal system: cubic
Space group: Fm-3m
Calculated volume in Å³/f.u.: 99
Size of the total moment in μB/cell: 0.000
E in eV/atom: -4.4601

8.
The following is a DFT calculation (GGA-PBEsol) of crystalline DyYIn2 at its relaxed geometry.

abc: 5.2244 5.2244 5.2244
angles: 60.00 60.00 60.00
Sites, in units of the cell vectors:
Dy 0.0000 0.0000 0.0000
Y 0.5000 0.5000 0.5000
In 0.2500 0.2500 0.2500
In 0.7500 0.7500 0.7500

Properties
Crystal system: cubic
Space group: Fm-3m
Calculated volume in Å³/f.u.: 101
Size of the total moment in μB/cell: 0.000
E in eV/atom: -4.9793

Repeat the eighth record exactly.
The following is a DFT calculation (GGA-PBEsol) of crystalline DyYIn2 at its relaxed geometry.

abc: 5.2244 5.2244 5.2244
angles: 60.00 60.00 60.00
Sites, in units of the cell vectors:
Dy 0.0000 0.0000 0.0000
Y 0.5000 0.5000 0.5000
In 0.2500 0.2500 0.2500
In 0.7500 0.7500 0.7500

Properties
Crystal system: cubic
Space group: Fm-3m
Calculated volume in Å³/f.u.: 101
Size of the total moment in μB/cell: 0.000
E in eV/atom: -4.9793

Question: The lowest E belongs to which entry?
Answer: DyInRh2

Question: Number 8 is which compound?
Answer: DyYIn2

Question: Which value of E does entry 1 give?
Answer: -4.8033 eV/atom